Record 1
Here is crystalline LiLaP2Pd at its relaxed geometry from the Alexandria database. Energies are from GGA-PBE.

Cell lengths 4.141, 4.141, 5.860 Å; angles 110.69, 110.69, 90.00 degrees
Positions (direct):
Li  0.250  0.750  0.500
La  0.000  0.000  0.000
P  0.612  0.612  0.224
P  0.388  0.388  0.776
Pd  0.750  0.250  0.500

Output
Its uncorrected energy is -28.1 eV for the cell shown. As for the crystal system: tetragonal. The space group is I-4m2. The value obtained for the formation energy is -1.0564 eV per atom. The calculation puts the density of states at the Fermi level at 0.27 states/eV/atom.

Record 2
Here is crystalline Ho7Ge2Pb2 at its relaxed geometry from the Alexandria database. Energies are from GGA-PBE.

Cell lengths 6.948, 6.919, 6.948 Å; angles 90.00, 102.72, 90.00 degrees
Positions (direct):
Ho  0.000  0.260  0.500
Ho  0.500  0.740  0.000
Ho  0.000  0.740  0.500
Ho  0.500  0.260  0.000
Ho  0.000  0.000  0.000
Ho  0.500  0.754  0.500
Ho  0.500  0.246  0.500
Ge  0.726  0.000  0.274
Ge  0.274  0.000  0.726
Pb  0.815  0.500  0.815
Pb  0.185  0.500  0.185

Output
Its uncorrected energy is -52.3 eV for the cell shown. As for the crystal system: orthorhombic. The space group is Cmmm. The value obtained for the formation energy is -0.3287 eV per atom. The calculation puts the density of states at the Fermi level at 1.25 states/eV/atom.